Record 1
CuSbPb2: single point on PBEsol structure, meta-GGA SCAN.

Cell lengths 3.488, 3.488, 9.555 Å; angles 79.48, 79.48, 60.00 degrees
Fractional positions:
Cu 0.000 0.000 0.000
Pb 0.265 0.265 0.205
Pb 0.735 0.735 0.795
Sb 0.500 0.500 0.500

Calculated values
* M_tot: 0.000 μB per atom
* calculated total energy: -50.739 eV per atom
* raw formation energy: 1.067 eV/f.u.
* Fermi-level density of states: 1.944 states/eV/cell

Record 2
CuSbPb2: single point on PBEsol structure, meta-GGA SCAN.

Cell lengths 4.787, 4.548, 4.549 Å; angles 90.00, 90.00, 90.00 degrees
Fractional positions:
Cu 0.500 0.500 0.000
Pb 0.000 0.500 0.500
Sb 0.500 0.000 0.500
Pb 0.000 0.000 0.000

Calculated values
* M_tot: 0.000 μB per atom
* calculated total energy: -50.655 eV per atom
* raw formation energy: 1.401 eV/f.u.
* Fermi-level density of states: 1.422 states/eV/cell

Record 3
Cu2SbPb: single point on PBEsol structure, meta-GGA SCAN.

Cell lengths 4.070, 4.068, 6.402 Å; angles 71.69, 71.47, 59.98 degrees
Fractional positions:
Pb 0.474 0.471 0.582
Sb 0.291 0.294 0.124
Cu 0.708 0.708 0.875
Cu 0.027 0.027 0.919

Calculated values
* M_tot: 0.000 μB per atom
* calculated total energy: -35.774 eV per atom
* raw formation energy: 0.346 eV/f.u.
* Fermi-level density of states: 1.309 states/eV/cell

Record 4
CuSbPb2: single point on PBEsol structure, meta-GGA SCAN.

Cell lengths 3.336, 3.336, 8.625 Å; angles 90.00, 89.90, 90.00 degrees
Fractional positions:
Sb 0.500 0.500 0.500
Pb 0.001 0.000 0.795
Cu 0.500 0.500 0.000
Pb 0.999 0.000 0.205

Calculated values
* M_tot: 0.000 μB per atom
* calculated total energy: -50.742 eV per atom
* raw formation energy: 1.055 eV/f.u.
* Fermi-level density of states: 2.167 states/eV/cell

Record 5
CuSbPb2: single point on PBEsol structure, meta-GGA SCAN.

Cell lengths 5.181, 5.181, 5.181 Å; angles 60.00, 60.00, 60.00 degrees
Fractional positions:
Pb 0.750 0.750 0.750
Cu 0.500 0.500 0.500
Pb 0.000 0.000 0.000
Sb 0.250 0.250 0.250

Calculated values
* M_tot: 0.000 μB per atom
* calculated total energy: -50.599 eV per atom
* raw formation energy: 1.627 eV/f.u.
* Fermi-level density of states: 3.023 states/eV/cell

Record 6
CuSbPb2: single point on PBEsol structure, meta-GGA SCAN.

Cell lengths 3.363, 5.444, 6.228 Å; angles 115.91, 105.66, 90.00 degrees
Fractional positions:
Cu 0.243 0.743 0.487
Pb 0.748 0.248 0.496
Sb 0.554 0.554 0.108
Pb 0.954 0.954 0.909

Calculated values
* M_tot: 0.000 μB per atom
* calculated total energy: -50.804 eV per atom
* raw formation energy: 0.807 eV/f.u.
* Fermi-level density of states: 1.972 states/eV/cell

Record 7
CuSb2Pb: single point on PBEsol structure, meta-GGA SCAN.

Cell lengths 3.915, 3.915, 7.709 Å; angles 75.29, 75.29, 60.00 degrees
Fractional positions:
Pb 0.000 0.000 0.000
Cu 0.500 0.500 0.500
Sb 0.227 0.227 0.319
Sb 0.773 0.773 0.681

Calculated values
* M_tot: 0.000 μB per atom
* calculated total energy: -41.302 eV per atom
* raw formation energy: 0.296 eV/f.u.
* Fermi-level density of states: 1.896 states/eV/cell

Record 8
ScCuPb3: single point on PBEsol structure, meta-GGA SCAN.

Cell lengths 5.506, 5.506, 5.506 Å; angles 90.00, 90.00, 90.00 degrees
Fractional positions:
Cu 0.500 0.500 0.500
Sc 0.000 0.000 0.000
Pb 0.500 0.000 0.000
Pb 0.000 0.000 0.500
Pb 0.000 0.500 0.000

Calculated values
* M_tot: 0.000 μB per atom
* energy of formation: 0.692 eV/atom
* calculated total energy: -50.664 eV per atom
* Fermi-level density of states: 5.644 states/eV/cell

Record 9
ScZnCuPb2: single point on PBEsol structure, meta-GGA SCAN.

Cell lengths 4.502, 5.128, 5.128 Å; angles 90.00, 90.00, 90.00 degrees
Fractional positions:
Sc 0.500 0.500 0.500
Cu 0.000 0.000 0.000
Pb 0.000 0.000 0.500
Zn 0.500 0.000 0.000
Pb 0.000 0.500 0.000

Calculated values
* M_tot: 0.000 μB per atom
* energy of formation: 0.218 eV/atom
* calculated total energy: -38.685 eV per atom
* Fermi-level density of states: 2.958 states/eV/cell

Record 10
ScZnCu2Pb: single point on PBEsol structure, meta-GGA SCAN.

Cell lengths 4.744, 4.744, 5.064 Å; angles 90.00, 90.00, 90.00 degrees
Fractional positions:
Zn 0.000 0.000 0.500
Cu 0.000 0.500 0.000
Sc 0.500 0.500 0.500
Pb 0.000 0.000 0.000
Cu 0.500 0.000 0.000

Calculated values
* M_tot: 0.000 μB per atom
* energy of formation: 0.759 eV/atom
* calculated total energy: -26.028 eV per atom
* Fermi-level density of states: 3.559 states/eV/cell

Record 11
CuPb2Se: single point on PBEsol structure, meta-GGA SCAN.

Cell lengths 3.462, 3.462, 8.236 Å; angles 90.00, 90.00, 90.00 degrees
Fractional positions:
Pb 0.500 0.500 0.277
Pb 0.000 0.000 0.982
Se 0.000 0.000 0.622
Cu 0.500 0.500 0.619

Calculated values
* M_tot: 0.000 μB per atom
* calculated total energy: -46.676 eV per atom
* raw formation energy: 0.136 eV/f.u.
* Fermi-level density of states: 1.620 states/eV/cell

Record 12
Cu3PbSe: single point on PBEsol structure, meta-GGA SCAN.

Cell lengths 4.595, 4.595, 4.595 Å; angles 90.00, 90.00, 90.00 degrees
Fractional positions:
Cu 0.000 0.000 0.500
Pb 0.500 0.500 0.500
Cu 0.000 0.500 0.000
Se 0.000 0.000 0.000
Cu 0.500 0.000 0.000

Calculated values
* M_tot: 0.000 μB per atom
* calculated total energy: -27.813 eV per atom
* raw formation energy: 2.391 eV/f.u.
* Fermi-level density of states: 2.675 states/eV/cell